Record 1
The following is a DFT calculation (PBE-GGA) of K3Tl2Sb3 after structural relaxation.

a b c (Å): 8.5345 16.9116 8.4793
angles (deg): 90.00 90.00 90.00
Last column: nearest neighbours and their distance in Å.
Space group Pnma (No. 62)
Inequivalent atoms, fractional coordinates:
K: 0.0077 0.1088 0.1948 x8  6 Sb 3.60-3.83, 2 Tl 3.84-3.96
K: 0.1891 0.2500 0.6037 x4  4 Sb 3.39-3.75, 4 Tl 3.79-3.80
Tl: 0.1353 0.5968 0.3770 x8  4 Sb 2.96-3.08
Sb: 0.2025 0.0497 0.5825 x8  3 Tl 2.96-3.08
Sb: 0.2185 0.7500 0.5356 x4  2 Tl 3.00

Crystal system: orthorhombic
ΔE_f (raw) in eV/atom: -0.266
Total magnetic moment in μB per formula unit: 0.0

***

Record 2
The following is a DFT calculation (PBE-GGA) of K2TlSb after structural relaxation.

a b c (Å): 3.5345 3.5345 11.2640
angles (deg): 90.00 90.00 90.00
Last column: nearest neighbours and their distance in Å.
Space group P4/mmm (No. 123)
Inequivalent atoms, fractional coordinates:
K: 0.0000 0.0000 0.2269 x2  4 K 3.53, 4 Sb 3.57
Tl: 0.5000 0.5000 0.5000 x1  4 Tl 3.53
Sb: 0.5000 0.5000 0.0000 x1  4 Sb 3.53, 8 K 3.57

Crystal system: tetragonal
ΔE_f (raw) in eV/atom: -0.143
Total magnetic moment in μB per formula unit: 0.0

***

Record 3
The following is a DFT calculation (PBE-GGA) of K2TlSb2 after structural relaxation.

a b c (Å): 11.8007 6.9304 9.6393
angles (deg): 90.00 104.37 90.00
Last column: nearest neighbours and their distance in Å.
Space group C2/c (No. 15)
Inequivalent atoms, fractional coordinates:
K: 0.1453 0.1385 0.1445 x8  6 Sb 3.62-3.83, 1 Tl 3.87
Tl: 0.0000 0.4013 0.7500 x4  4 Sb 3.14-3.24
Sb: 0.1471 0.3588 0.5090 x8  1 Sb 2.90, 2 Tl 3.14-3.24

Distance to the lowest polymorph of the same formula in meV per atom: 3
Crystal system: monoclinic
ΔE_f (raw) in eV/atom: -0.321
Total magnetic moment in μB per formula unit: 0.0

***

Record 4
The following is a DFT calculation (PBE-GGA) of K2TlSb after structural relaxation.

a b c (Å): 11.5574 3.6208 7.1636
angles (deg): 90.00 96.78 90.00
Last column: nearest neighbours and their distance in Å.
Space group C2/m (No. 12)
Inequivalent atoms, fractional coordinates:
K: 0.2420 0.0000 0.2272 x4  3 Sb 3.56, 3 Tl 3.60-3.82, 4 K 3.62-3.75
Tl: 0.0000 0.0000 0.5000 x2  6 K 3.60-3.82, 2 Tl 3.62, 4 Sb 4.01
Sb: 0.0000 0.5000 0.0000 x2  6 K 3.56, 2 Sb 3.62

Crystal system: monoclinic
ΔE_f (raw) in eV/atom: -0.094
Total magnetic moment in μB per formula unit: 0.0

***

Record 5
The following is a DFT calculation (PBE-GGA) of KTl7Sb2 after structural relaxation.

a b c (Å): 9.3500 16.9030 5.1589
angles (deg): 90.00 90.00 90.00
Last column: nearest neighbours and their distance in Å.
Space group Cmmm (No. 65)
Inequivalent atoms, fractional coordinates:
K: 0.0000 0.0000 0.0000 x2  10 Tl 3.52-3.86
Tl: 0.0000 0.2081 0.0000 x4  2 Sb 3.04
Tl: 0.0000 0.5000 0.5000 x2  2 Sb 3.33, 4 Tl 3.61
Tl: 0.1947 0.1310 0.5000 x8  2 Sb 3.06-3.43, 2 Tl 3.42
Sb: 0.0000 0.3030 0.5000 x4  5 Tl 3.04-3.33

Crystal system: orthorhombic
ΔE_f (raw) in eV/atom: 0.065
Total magnetic moment in μB per formula unit: 0.0

***

Record 6
The following is a DFT calculation (PBE-GGA) of K2TlSb2 after structural relaxation.

a b c (Å): 8.2002 8.2002 5.5902
angles (deg): 90.00 90.00 90.00
Last column: nearest neighbours and their distance in Å.
Space group P4/mbm (No. 127)
Inequivalent atoms, fractional coordinates:
K: 0.1710 0.3290 0.0000 x4  6 Sb 3.67-3.72, 1 K 3.97
Tl: 0.0000 0.0000 0.5000 x2  4 Sb 3.25
Sb: 0.1238 0.6238 0.5000 x4  1 Sb 2.87

Distance to the lowest polymorph of the same formula in meV per atom: 22
Crystal system: tetragonal
ΔE_f (raw) in eV/atom: -0.301
Total magnetic moment in μB per formula unit: 0.0

***

Record 7
The following is a DFT calculation (PBE-GGA) of KTl12Sb6 after structural relaxation.

a b c (Å): 10.8056 10.8056 10.8056
angles (deg): 90.00 90.00 90.00
Last column: nearest neighbours and their distance in Å.
Space group Im-3 (No. 204)
Inequivalent atoms, fractional coordinates:
K: 0.0000 0.0000 0.0000 x2  12 Tl 3.63
Tl: 0.0000 0.2060 0.2652 x24  1 Sb 3.08
Sb: 0.0000 0.3683 0.5000 x12  1 Sb 2.85, 2 Tl 3.08

Crystal system: cubic
ΔE_f (raw) in eV/atom: -0.032
Total magnetic moment in μB per formula unit: 0.0

***

Record 8
The following is a DFT calculation (PBE-GGA) of KTl15Sb4 after structural relaxation.

a b c (Å): 5.0487 5.0487 24.6034
angles (deg): 90.00 90.00 90.00
Last column: nearest neighbours and their distance in Å.
Space group P4/mmm (No. 123)
Inequivalent atoms, fractional coordinates:
K: 0.0000 0.0000 0.0000 x1  12 Tl 3.57-3.64
Tl: 0.0000 0.5000 0.1067 x4  2 Sb 3.26, 8 Tl 3.52-3.64, 2 K 3.64
Tl: 0.0000 0.5000 0.3050 x4  4 Sb 3.42-3.78, 8 Tl 3.48-3.57
Tl: 0.0000 0.5000 0.5000 x2  8 Tl 3.48-3.57, 4 Sb 3.54
Tl: 0.5000 0.5000 0.0000 x1  4 K 3.57, 8 Tl 3.64
Tl: 0.5000 0.5000 0.2066 x2  8 Tl 3.50-3.52, 4 Sb 3.59
Tl: 0.5000 0.5000 0.4025 x2  8 Tl 3.48, 4 Sb 3.57
Sb: 0.0000 0.0000 0.1907 x2  8 Tl 3.26-3.59
Sb: 0.0000 0.0000 0.3988 x2  12 Tl 3.42-3.57

Crystal system: tetragonal
ΔE_f (raw) in eV/atom: -0.029
Total magnetic moment in μB per formula unit: 0.0